PmPrAlGe | PBE | optimized geometry

Cell and atoms, written as CIF:
```
data_PmPrAlGe
_chemical_formula_sum 'Pm1 Pr1 Al1 Ge1'
_space_group_name_H-M_alt 'P 1'
_space_group_IT_number 1
_space_group_name_Hall 'P 1'
_cell_length_a 5.259
_cell_length_b 5.259
_cell_length_c 5.259
_cell_angle_alpha 60.00
_cell_angle_beta 60.00
_cell_angle_gamma 60.00
loop_
_atom_site_label
_atom_site_fract_x
_atom_site_fract_y
_atom_site_fract_z
Pm1 0.000 0.000 0.000
Pr1 0.500 0.500 0.500
Al1 0.250 0.250 0.250
Ge1 0.750 0.750 0.750
```

Electronic total energy   -4.905 eV per atom
DFT formation energy   -0.43 eV per atom
Polymorph energy (0 for the lowest one)   230 meV/atom
M_tot   0.00 Bohr magnetons per cell